No. 1
The following is a GGA-PBE calculation of an optimized crystal structure of Tl4ReSb, from Alexandria via LeMat-Bulk.

CIF file:
```
data_Tl4ReSb
_cell_length_a 8.8508
_cell_length_b 8.8508
_cell_length_c 8.8508
_cell_angle_alpha 90.00
_cell_angle_beta 90.00
_cell_angle_gamma 90.00
_symmetry_space_group_name_H-M 'F -4 3 m'
_symmetry_Int_Tables_number 216
_symmetry_space_group_name_Hall 'F -4 2 3'
loop_
_atom_site_label
_atom_site_fract_x
_atom_site_fract_y
_atom_site_fract_z
_atom_site_occupancy
Tl1 0.1248 0.1248 0.1248 1
Re1 0.2500 0.2500 0.7500 1
Sb1 0.0000 0.0000 0.5000 1
```

Results
N(E_F) = 4.4 states/eV/f.u.
ΔE_f (raw) = 1104 meV per atom
Total moment = 0.6341 μB/atom



No. 2
The following is a GGA-PBE calculation of an optimized crystal structure of ZnFe2B, from Alexandria via LeMat-Bulk.

CIF file:
```
data_ZnFe2B
_cell_length_a 3.4127
_cell_length_b 3.4127
_cell_length_c 16.0115
_cell_angle_alpha 90.00
_cell_angle_beta 90.00
_cell_angle_gamma 90.00
_symmetry_space_group_name_H-M 'I -4 2 d'
_symmetry_Int_Tables_number 122
_symmetry_space_group_name_Hall 'I -4 2bw'
loop_
_atom_site_label
_atom_site_fract_x
_atom_site_fract_y
_atom_site_fract_z
_atom_site_occupancy
Zn1 0.0000 0.0000 0.0000 1
Fe1 0.2184 0.2500 0.6250 1
B1 0.0000 0.0000 0.5000 1
```

Results
ΔH_f (0 K) = 0.6536 eV/atom
N(E_F) = 2.8 states/eV/f.u.
Excess energy over the best structure of this formula in the dataset = 722 meV per atom
Total moment = 1.0335 μB/atom



No. 3
The following is a GGA-PBE calculation of an optimized crystal structure of TlIrBr4, from Alexandria via LeMat-Bulk.

CIF file:
```
data_TlIrBr4
_cell_length_a 11.8967
_cell_length_b 3.8701
_cell_length_c 8.5616
_cell_angle_alpha 90.00
_cell_angle_beta 112.19
_cell_angle_gamma 90.00
_symmetry_space_group_name_H-M 'C 1 2/m 1'
_symmetry_Int_Tables_number 12
_symmetry_space_group_name_Hall '-C 2y'
loop_
_atom_site_label
_atom_site_fract_x
_atom_site_fract_y
_atom_site_fract_z
_atom_site_occupancy
Tl1 0.0000 0.0000 0.0000 1
Ir1 0.0000 0.5000 0.5000 1
Br1 0.1167 0.0000 0.4450 1
Br2 0.1411 0.5000 0.8061 1
```

Results
ΔE_f (raw) = -399 meV per atom
Total moment = 0.0000 μB/atom



No. 4
The following is a GGA-PBE calculation of an optimized crystal structure of ZrNiSb4, from Alexandria via LeMat-Bulk.

CIF file:
```
data_ZrNiSb4
_cell_length_a 8.4949
_cell_length_b 8.4949
_cell_length_c 8.4949
_cell_angle_alpha 90.00
_cell_angle_beta 90.00
_cell_angle_gamma 90.00
_symmetry_space_group_name_H-M 'F -4 3 m'
_symmetry_Int_Tables_number 216
_symmetry_space_group_name_Hall 'F -4 2 3'
loop_
_atom_site_label
_atom_site_fract_x
_atom_site_fract_y
_atom_site_fract_z
_atom_site_occupancy
Zr1 0.0000 0.0000 0.0000 1
Ni1 0.2500 0.2500 0.7500 1
Sb1 0.1246 0.1246 0.3754 1
```

Results
N(E_F) = 5.8 states/eV/f.u.
ΔE_f (raw) = 642 meV per atom
Total moment = 0.0000 μB/atom



No. 5
The following is a GGA-PBE calculation of an optimized crystal structure of LiNdSc2, from Alexandria via LeMat-Bulk.

CIF file:
```
data_LiNdSc2
_cell_length_a 3.2421
_cell_length_b 3.2421
_cell_length_c 34.5004
_cell_angle_alpha 90.00
_cell_angle_beta 90.00
_cell_angle_gamma 120.00
_symmetry_space_group_name_H-M 'R -3 m'
_symmetry_Int_Tables_number 166
_symmetry_space_group_name_Hall '-R 3 2"'
loop_
_atom_site_label
_atom_site_fract_x
_atom_site_fract_y
_atom_site_fract_z
_atom_site_occupancy
Li1 0.0000 0.0000 0.0000 1
Nd1 0.0000 0.0000 0.5000 1
Sc1 0.0000 0.0000 0.4071 1
```

Results
ΔH_f (0 K) = 0.3158 eV/atom
N(E_F) = 7.1 states/eV/f.u.
Excess energy over the best structure of this formula in the dataset = 185 meV per atom
Total moment = 0.0015 μB/atom



No. 6
The following is a GGA-PBE calculation of an optimized crystal structure of GdUPt4, from Alexandria via LeMat-Bulk.

CIF file:
```
data_GdUPt4
_cell_length_a 7.7039
_cell_length_b 7.7039
_cell_length_c 7.7039
_cell_angle_alpha 90.00
_cell_angle_beta 90.00
_cell_angle_gamma 90.00
_symmetry_space_group_name_H-M 'F -4 3 m'
_symmetry_Int_Tables_number 216
_symmetry_space_group_name_Hall 'F -4 2 3'
loop_
_atom_site_label
_atom_site_fract_x
_atom_site_fract_y
_atom_site_fract_z
_atom_site_occupancy
Gd1 0.0000 0.0000 0.0000 1
U1 0.2500 0.2500 0.2500 1
Pt1 0.1251 0.1251 0.6251 1
```

Results
ΔH_f (0 K) = -0.8439 eV/atom
N(E_F) = 8.7 states/eV/f.u.
Total moment = 1.6259 μB/atom



No. 7
The following is a GGA-PBE calculation of an optimized crystal structure of LiLaHo, from Alexandria via LeMat-Bulk.

CIF file:
```
data_LiLaHo
_cell_length_a 3.7736
_cell_length_b 5.7458
_cell_length_c 16.8482
_cell_angle_alpha 90.00
_cell_angle_beta 90.57
_cell_angle_gamma 90.00
_symmetry_space_group_name_H-M 'C 1 2/m 1'
_symmetry_Int_Tables_number 12
_symmetry_space_group_name_Hall '-C 2y'
loop_
_atom_site_label
_atom_site_fract_x
_atom_site_fract_y
_atom_site_fract_z
_atom_site_occupancy
Li1 0.2469 0.0000 0.4328 1
La1 0.1929 0.0000 0.0982 1
Ho1 0.2378 0.5000 0.2740 1
```

Results
ΔH_f (0 K) = 0.1411 eV/atom
N(E_F) = 3.4 states/eV/f.u.
Excess energy over the best structure of this formula in the dataset = 74 meV per atom
Total moment = 0.0000 μB/atom



No. 8
The following is a GGA-PBE calculation of an optimized crystal structure of GaP3Ru, from Alexandria via LeMat-Bulk.

CIF file:
```
data_GaP3Ru
_cell_length_a 4.6699
_cell_length_b 4.6699
_cell_length_c 4.6699
_cell_angle_alpha 90.00
_cell_angle_beta 90.00
_cell_angle_gamma 90.00
_symmetry_space_group_name_H-M 'P m -3 m'
_symmetry_Int_Tables_number 221
_symmetry_space_group_name_Hall '-P 4 2 3'
loop_
_atom_site_label
_atom_site_fract_x
_atom_site_fract_y
_atom_site_fract_z
_atom_site_occupancy
Ga1 0.0000 0.0000 0.0000 1
P1 0.0000 0.5000 0.5000 1
Ru1 0.5000 0.5000 0.5000 1
```

Results
ΔH_f (0 K) = 0.5780 eV/atom
N(E_F) = 4.5 states/eV/f.u.
Excess energy over the best structure of this formula in the dataset = 0 meV per atom
Total moment = 0.0000 μB/atom



No. 9
The following is a GGA-PBE calculation of an optimized crystal structure of Nd3Tm2Te6, from Alexandria via LeMat-Bulk.

CIF file:
```
data_Nd3Tm2Te6
_cell_length_a 4.3934
_cell_length_b 4.3934
_cell_length_c 66.4973
_cell_angle_alpha 90.00
_cell_angle_beta 90.00
_cell_angle_gamma 120.00
_symmetry_space_group_name_H-M 'R -3 m'
_symmetry_Int_Tables_number 166
_symmetry_space_group_name_Hall '-R 3 2"'
loop_
_atom_site_label
_atom_site_fract_x
_atom_site_fract_y
_atom_site_fract_z
_atom_site_occupancy
Nd1 0.0000 0.0000 0.0000 1
Nd2 0.0000 0.0000 0.2768 1
Tm1 0.0000 0.0000 0.4486 1
Te1 0.0000 0.0000 0.0864 1
Te2 0.0000 0.0000 0.1948 1
Te3 0.0000 0.0000 0.3618 1
```

Results
N(E_F) = 5.1 states/eV/f.u.
ΔE_f (raw) = -1363 meV per atom
Total moment = 0.0000 μB/atom



No. 10
The following is a GGA-PBE calculation of an optimized crystal structure of Ba4CaSb, from Alexandria via LeMat-Bulk.

CIF file:
```
data_Ba4CaSb
_cell_length_a 10.5388
_cell_length_b 10.5388
_cell_length_c 10.5388
_cell_angle_alpha 90.00
_cell_angle_beta 90.00
_cell_angle_gamma 90.00
_symmetry_space_group_name_H-M 'F -4 3 m'
_symmetry_Int_Tables_number 216
_symmetry_space_group_name_Hall 'F -4 2 3'
loop_
_atom_site_label
_atom_site_fract_x
_atom_site_fract_y
_atom_site_fract_z
_atom_site_occupancy
Ba1 0.1234 0.1234 0.3766 1
Ca1 0.0000 0.0000 0.0000 1
Sb1 0.2500 0.2500 0.7500 1
```

Results
N(E_F) = 7.9 states/eV/f.u.
ΔE_f (raw) = 151 meV per atom
Total moment = 0.2125 μB/atom



No. 11
The following is a GGA-PBE calculation of an optimized crystal structure of HoMg2Al, from Alexandria via LeMat-Bulk.

CIF file:
```
data_HoMg2Al
_cell_length_a 4.3711
_cell_length_b 4.3711
_cell_length_c 4.7699
_cell_angle_alpha 90.00
_cell_angle_beta 90.00
_cell_angle_gamma 90.00
_symmetry_space_group_name_H-M 'P 4/m m m'
_symmetry_Int_Tables_number 123
_symmetry_space_group_name_Hall '-P 4 2'
loop_
_atom_site_label
_atom_site_fract_x
_atom_site_fract_y
_atom_site_fract_z
_atom_site_occupancy
Ho1 0.0000 0.0000 0.0000 1
Mg1 0.0000 0.5000 0.5000 1
Al1 0.5000 0.5000 0.0000 1
```

Results
ΔH_f (0 K) = -0.2014 eV/atom
N(E_F) = 1.9 states/eV/f.u.
Excess energy over the best structure of this formula in the dataset = 0 meV per atom
Total moment = 0.0000 μB/atom